## Zr2Ti2Au (PBE)

Data for a relaxed Zr2Ti2Au crystal.

The calculation puts the density of states at the Fermi level at 1.303 states/eV per atom. The value obtained for the total energy is -7.3356 eV per atom.

The structure belongs to space group P4/mbm (No. 127); the cell edges are 6.998, 6.998 and 4.043 Å and the angles 90.00°, 90.00° and 90.00°. The distinct sites, in fractional coordinates, are Zr at (0.164, 0.336, 0.000), Ti at (0.136, 0.636, 0.500) and Au at (0.000, 0.000, 0.500).


## ZrTiAu6 (PBE)

Data for a relaxed ZrTiAu6 crystal.

The calculation puts the density of states at the Fermi level at 0.624 states/eV per atom. The value obtained for the total energy is -4.8709 eV per atom.

The structure belongs to space group C2/m (No. 12); the cell edges are 8.813, 4.349 and 8.706 Å and the angles 90.00°, 119.50° and 90.00°. The distinct sites, in fractional coordinates, are Zr at (0.000, 0.000, 0.000), Ti at (0.000, 0.000, 0.500), Au at (0.004, 0.500, 0.750), Au at (0.247, 0.000, 0.866) and Au at (0.248, 0.500, 0.618).


## ZrTiAu2 (PBE)

Data for a relaxed ZrTiAu2 crystal.

The calculation puts the density of states at the Fermi level at 0.982 states/eV per atom. The value obtained for the total energy is -5.4352 eV per atom.

The structure belongs to space group Immm (No. 71); the cell edges are 2.864, 4.786 and 11.925 Å and the angles 90.00°, 90.00° and 90.00°. The distinct sites, in fractional coordinates, are Zr at (0.000, 0.000, 0.000), Ti at (0.000, 0.000, 0.500) and Au at (0.000, 0.000, 0.284).


## ZrTi2Au6 (PBE)

Data for a relaxed ZrTi2Au6 crystal.

The calculation puts the density of states at the Fermi level at 0.833 states/eV per atom. The value obtained for the total energy is -5.2804 eV per atom.

The structure belongs to space group C2/m (No. 12); the cell edges are 4.962, 15.262 and 4.962 Å and the angles 90.00°, 119.73° and 90.00°. The distinct sites, in fractional coordinates, are Zr at (0.000, 0.000, 0.000), Ti at (0.000, 0.166, 0.500), Au at (0.166, 0.332, 0.833) and Au at (0.170, 0.500, 0.334).


## ZrTiAu2 (PBE)

Data for a relaxed ZrTiAu2 crystal.

The calculation puts the density of states at the Fermi level at 1.183 states/eV per atom. The value obtained for the total energy is -6.1450 eV per atom.

The structure belongs to space group P4/mmm (No. 123); the cell edges are 4.324, 4.324 and 3.998 Å and the angles 90.00°, 90.00° and 90.00°. The distinct sites, in fractional coordinates, are Zr at (0.000, 0.000, 0.000), Ti at (0.500, 0.500, 0.000) and Au at (0.000, 0.500, 0.500).


## Zr2TiAu6 (PBE)

Data for a relaxed Zr2TiAu6 crystal.

The calculation puts the density of states at the Fermi level at 0.909 states/eV per atom. The value obtained for the total energy is -5.2182 eV per atom.

The structure belongs to space group P-3m1 (No. 164); the cell edges are 5.7971, 5.7971 and 6.1139 Å and the angles 90.00°, 90.00° and 120.00°. The distinct sites, in fractional coordinates, are Zr at (0.3333, 0.6667, 0.3938), Ti at (0.0000, 0.0000, 0.5000) and Au at (0.1725, 0.3449, 0.8123).


## ZrTiAu2 (PBE)

Data for a relaxed ZrTiAu2 crystal.

The calculation puts the density of states at the Fermi level at 1.119 states/eV per atom. The value obtained for the total energy is -5.8057 eV per atom.

The structure belongs to space group I-42d (No. 122); the cell edges are 7.590, 7.590 and 5.517 Å and the angles 90.00°, 90.00° and 90.00°. The distinct sites, in fractional coordinates, are Zr at (0.000, 0.000, 0.000), Ti at (0.000, 0.000, 0.500) and Au at (0.224, 0.750, 0.625).


## Zr2Ti2Au (PBE)

Data for a relaxed Zr2Ti2Au crystal.

The calculation puts the density of states at the Fermi level at 1.692 states/eV per atom. The value obtained for the total energy is -6.7563 eV per atom.

The structure belongs to space group I4/mmm (No. 139); the cell edges are 4.038, 4.038 and 12.651 Å and the angles 90.00°, 90.00° and 90.00°. The distinct sites, in fractional coordinates, are Zr at (0.000, 0.500, 0.250), Ti at (0.000, 0.000, 0.082) and Au at (0.000, 0.000, 0.500).


Question: The highest total energy belongs to which entry?
Answer: ZrTiAu6